# 1
This record from Alexandria describes TcAg2Te after structural relaxation. The functional is PBE.

Cell lengths 4.6644, 2.8767, 5.9341 Å; angles 75.89, 90.00, 90.00 degrees
Fractional positions:
Ag1 0.0000 0.9284 0.0159
Ag2 0.5000 0.3121 0.2520
Tc1 0.0000 0.6841 0.5080
Te1 0.5000 0.5754 0.7241

Output
- Crystal system: monoclinic
- Raw total energy: -0.317 Ry/atom
- Spin magnetization: 0.00 μB/f.u.

---

# 2
This record from Alexandria describes TcAgTe2 after structural relaxation. The functional is PBE.

Cell lengths 4.8673, 4.8673, 4.8673 Å; angles 60.00, 60.00, 60.00 degrees
Fractional positions:
Te1 0.2500 0.2500 0.2500
Te2 0.7500 0.7500 0.7500
Tc1 0.0000 0.0000 0.0000
Ag1 0.5000 0.5000 0.5000

Output
- Crystal system: cubic
- Energy above the lowest structure with this stoichiometry: 251 meV per atom
- Spin magnetization: 0.00 μB/f.u.

---

# 3
This record from Alexandria describes TcAgTe2 after structural relaxation. The functional is PBE.

Cell lengths 3.5888, 3.5888, 7.3597 Å; angles 90.00, 90.00, 90.00 degrees
Fractional positions:
Ag1 0.0000 0.0000 0.5159
Tc1 0.5000 0.5000 0.7323
Te1 0.0000 0.0000 0.9005
Te2 0.5000 0.5000 0.3514

Output
- Crystal system: tetragonal
- Energy above the lowest structure with this stoichiometry: 132 meV per atom
- Spin magnetization: 0.00 μB/f.u.

---

# 4
This record from Alexandria describes Tc2AgTe2 after structural relaxation. The functional is PBE.

Cell lengths 4.3214, 4.3214, 6.8901 Å; angles 71.72, 71.72, 90.00 degrees
Fractional positions:
Te1 0.3692 0.3692 0.2615
Te2 0.6308 0.6308 0.7385
Tc1 0.7500 0.2500 0.5000
Tc2 0.2500 0.7500 0.5000
Ag1 0.0000 0.0000 0.0000

Output
- Crystal system: tetragonal
- Energy above the lowest structure with this stoichiometry: 0 meV per atom
- Spin magnetization: 0.00 μB/f.u.

---

# 5
This record from Alexandria describes TcAgTe2 after structural relaxation. The functional is PBE.

Cell lengths 3.1233, 3.1233, 10.6124 Å; angles 90.00, 90.00, 116.53 degrees
Last column: magnetic moment on the atom in μB.
Fractional positions:
Ag1 0.5000 0.5000 0.2500  0.00
Tc1 0.5000 0.5000 0.7500  0.31
Te1 0.0000 0.0000 0.9550  0.00
Te2 0.0000 0.0000 0.5450  0.00

Output
- Crystal system: orthorhombic
- Energy above the lowest structure with this stoichiometry: 360 meV per atom
- Spin magnetization: 0.34 μB/f.u.

---

# 6
This record from Alexandria describes TcAg2Te after structural relaxation. The functional is PBE.

Cell lengths 3.4060, 3.4060, 6.4857 Å; angles 90.00, 90.00, 90.00 degrees
Fractional positions:
Ag1 0.0000 0.0000 0.0257
Ag2 0.5000 0.5000 0.2492
Tc1 0.0000 0.0000 0.5157
Te1 0.5000 0.5000 0.7094

Output
- Crystal system: tetragonal
- Raw total energy: -0.335 Ry/atom
- Spin magnetization: 0.00 μB/f.u.

---

# 7
This record from Alexandria describes TcAgTe2 after structural relaxation. The functional is PBE.

Cell lengths 8.5348, 8.5348, 8.5348 Å; angles 23.98, 23.98, 23.98 degrees
Last column: magnetic moment on the atom in μB.
Fractional positions:
Ag1 0.7500 0.7500 0.7500  0.00
Tc1 0.2500 0.2500 0.2500  0.45
Te1 0.9893 0.9893 0.9893  0.00
Te2 0.5107 0.5107 0.5107  0.00

Output
- Crystal system: trigonal
- Energy above the lowest structure with this stoichiometry: 27 meV per atom
- Spin magnetization: 0.50 μB/f.u.

---

# 8
This record from Alexandria describes TcAg2Te after structural relaxation. The functional is PBE.

Cell lengths 3.1414, 4.4522, 5.6140 Å; angles 90.00, 90.00, 90.00 degrees
Last column: magnetic moment on the atom in μB.
Fractional positions:
Ag1 0.0000 0.0000 0.0137  0.04
Ag2 0.0000 0.0000 0.4863  0.04
Tc1 0.5000 0.5000 0.2500  1.96
Te1 0.5000 0.5000 0.7500  0.03

Output
- Crystal system: orthorhombic
- Raw total energy: -0.308 Ry/atom
- Spin magnetization: 2.29 μB/f.u.

---

# 9
This record from Alexandria describes TcAgTe2 after structural relaxation. The functional is PBE.

Cell lengths 4.9198, 4.9198, 3.4665 Å; angles 90.01, 90.01, 92.46 degrees
Last column: magnetic moment on the atom in μB.
Fractional positions:
Ag1 0.5000 0.0000 0.5000  0.01
Tc1 0.0000 0.5000 0.5000  1.20
Te1 0.0000 0.0000 0.0000  0.01
Te2 0.5000 0.5000 0.0000  0.01

Output
- Crystal system: orthorhombic
- Energy above the lowest structure with this stoichiometry: 387 meV per atom
- Spin magnetization: 1.39 μB/f.u.

---

# 10
This record from Alexandria describes TcAg2Te after structural relaxation. The functional is PBE.

Cell lengths 5.1230, 5.1230, 5.1230 Å; angles 131.42, 131.35, 71.21 degrees
Last column: magnetic moment on the atom in μB.
Fractional positions:
Ag1 0.9999 0.9999 0.0000  -0.01
Ag2 0.2500 0.7500 0.5000  0.01
Tc1 0.5002 0.5002 0.0000  1.06
Te1 0.7499 0.2499 0.5000  -0.03

Output
- Crystal system: tetragonal
- Raw total energy: -0.316 Ry/atom
- Spin magnetization: 1.09 μB/f.u.

---

# 11
This record from Alexandria describes TcAg2Te after structural relaxation. The functional is PBE.

Cell lengths 5.3121, 3.1920, 4.5558 Å; angles 89.40, 90.00, 90.00 degrees
Last column: magnetic moment on the atom in μB.
Fractional positions:
Ag1 0.0000 0.9974 0.0070  0.01
Ag2 0.0000 0.5026 0.4930  0.01
Tc1 0.5000 0.2500 0.2500  1.03
Te1 0.5000 0.7500 0.7500  -0.01

Output
- Crystal system: monoclinic
- Raw total energy: -0.315 Ry/atom
- Spin magnetization: 1.15 μB/f.u.

---

# 12
This record from Alexandria describes Tc4AgTe after structural relaxation. The functional is PBE.

Cell lengths 5.2659, 5.2659, 5.2659 Å; angles 60.00, 60.00, 60.00 degrees
Fractional positions:
Tc1 0.6253 0.6253 0.1242
Tc2 0.6253 0.1242 0.6253
Tc3 0.6253 0.6253 0.6253
Tc4 0.1242 0.6253 0.6253
Ag1 0.0000 0.0000 0.0000
Te1 0.2500 0.2500 0.2500

Output
- Crystal system: cubic
- Raw total energy: -0.534 Ry/atom
- Spin magnetization: 0.00 μB/f.u.

---

Number 1: Fermi-level density of states 3.22 states/eV per cell. Number 2: Fermi-level density of states 2.06 states/eV per cell. Number 3: Fermi-level density of states 3.43 states/eV per cell. Number 4: Fermi-level density of states 3.79 states/eV per cell. Number 5: Fermi-level density of states 3.78 states/eV per cell. Number 6: Fermi-level density of states 1.55 states/eV per cell. Number 7: Fermi-level density of states 3.33 states/eV per cell. Number 8: Fermi-level density of states 3.58 states/eV per cell. Number 9: Fermi-level density of states 3.80 states/eV per cell. Number 10: Fermi-level density of states 1.90 states/eV per cell. Number 11: Fermi-level density of states 2.44 states/eV per cell. Number 12: Fermi-level density of states 6.97 states/eV per cell.